16
Lattice="8.045 0.000 0.000 0.000 8.825 0.000 0.000 0.000 6.413" Properties=species:S:1:pos:R:3 comment="LiHg2AsS4, relaxed, DFT GGA-PBE" spacegroup="Pmn2_1 (31)" e_form_raw_mev_per_atom=-299 pbc="T T T"
Li 0.000 2.191 0.000
Li 4.022 6.633 3.206
Hg 1.761 3.093 3.620
Hg 2.261 5.732 0.413
Hg 5.784 5.732 0.413
Hg 6.284 3.093 3.620
As 0.000 6.900 3.543
As 4.022 1.925 0.336
S 0.000 1.452 4.141
S 0.000 6.791 1.290
S 1.874 5.632 4.108
S 2.148 3.192 0.901
S 4.022 2.033 4.497
S 4.022 7.373 0.934
S 5.897 3.192 0.901
S 6.171 5.632 4.108